Record 1
This record from Alexandria via LeMat-Bulk describes a relaxed LaMg2AlCu crystal. The functional is GGA-PBE.

Cell lengths 4.900, 4.900, 4.754 Å; angles 90.00, 90.00, 90.00 degrees
Space group P4/mmm (No. 123)
Asymmetric unit:
La (0.000, 0.000, 0.000) (multiplicity 1)
Mg (0.000, 0.500, 0.500) (multiplicity 2)
Al (0.500, 0.500, 0.000) (multiplicity 1)
Cu (0.500, 0.500, 0.500) (multiplicity 1)

Calculated values
E_tot: -3.31 eV per atom


Record 2
This record from Alexandria via LeMat-Bulk describes a relaxed DyErSc2 crystal. The functional is GGA-PBE.

Cell lengths 4.859, 4.859, 4.677 Å; angles 90.00, 90.00, 90.00 degrees
Space group P4/mmm (No. 123)
Asymmetric unit:
Dy (0.000, 0.000, 0.000) (multiplicity 1)
Er (0.500, 0.500, 0.000) (multiplicity 1)
Sc (0.000, 0.500, 0.500) (multiplicity 2)

Calculated values
E_tot: -5.40 eV per atom